[1]
The following is a GGA-PBE calculation of LiMgTa after structural relaxation, from Alexandria via LeMat-Bulk.

Unit cell a=8.052 b=7.869 c=2.794 alpha=83.61 beta=76.22 gamma=20.17
Atoms (fractional coordinates):
Ta  0.334  0.334  0.666
Li  0.000  0.000  0.000
Mg  0.666  0.666  0.334

Properties
Its mass density is 6.31 g/cm3. The symmetry is Fmm2, No. 42. Its formation energy is 262 meV per atom. As for the uncorrected energy: -4.86 eV per atom.



[2]
The following is a GGA-PBE calculation of LaFeIr2 after structural relaxation, from Alexandria via LeMat-Bulk.

Unit cell a=4.763 b=4.763 c=8.823 alpha=74.34 beta=74.34 gamma=90.00
Atoms (fractional coordinates):
Ir  0.875  0.702  0.750
Ir  0.298  0.625  0.250
Ir  0.452  0.125  0.250
Ir  0.375  0.548  0.750
La  0.750  0.250  0.500
La  0.000  0.000  0.000
Fe  0.500  0.500  0.000
Fe  0.250  0.750  0.500

Properties
Its mass density is 10.40 g/cm3. The symmetry is I-42d, No. 122. Its formation energy is 46 meV per atom. As for the uncorrected energy: -7.73 eV per atom.



[3]
The following is a GGA-PBE calculation of Y2Sb2Te after structural relaxation, from Alexandria via LeMat-Bulk.

Unit cell a=8.509 b=8.509 c=3.994 alpha=90.00 beta=90.00 gamma=90.00
Atoms (fractional coordinates):
Sb  0.861  0.639  0.000
Sb  0.139  0.361  0.000
Sb  0.639  0.139  0.000
Sb  0.361  0.861  0.000
Y  0.838  0.338  0.500
Y  0.162  0.662  0.500
Y  0.662  0.838  0.500
Y  0.338  0.162  0.500
Te  0.500  0.500  0.000
Te  0.000  0.000  0.000

Properties
Its mass density is 6.30 g/cm3. The symmetry is P4/mbm, No. 127. For the formation energy without anion corrections, the calculation gives -0.71 eV/atom. As for the uncorrected energy: -5.57 eV per atom.



[4]
The following is a GGA-PBE calculation of Np3Tc after structural relaxation, from Alexandria via LeMat-Bulk.

Unit cell a=2.896 b=4.739 c=5.917 alpha=113.61 beta=104.16 gamma=90.00
Atoms (fractional coordinates):
Np  0.276  0.555  0.551
Np  0.500  0.538  0.000
Np  0.724  0.004  0.449
Tc  0.000  0.070  0.000

Properties
Its mass density is 18.73 g/cm3. The symmetry is Imm2, No. 44. Its formation energy is 242 meV per atom. As for the uncorrected energy: -12.05 eV per atom.



[5]
The following is a GGA-PBE calculation of Pr2AuI2 after structural relaxation, from Alexandria via LeMat-Bulk.

Unit cell a=4.298 b=4.298 c=12.270 alpha=79.91 beta=79.91 gamma=60.00
Atoms (fractional coordinates):
I  0.224  0.224  0.329
I  0.776  0.776  0.671
Pr  0.383  0.383  0.850
Pr  0.617  0.617  0.150
Au  0.000  0.000  0.000

Properties
Its mass density is 6.33 g/cm3. The symmetry is R-3m, No. 166. For the formation energy without anion corrections, the calculation gives -1.08 eV/atom. As for the uncorrected energy: -4.27 eV per atom.



[6]
The following is a GGA-PBE calculation of TiTlAs2 after structural relaxation, from Alexandria via LeMat-Bulk.

Unit cell a=4.885 b=4.885 c=4.885 alpha=60.00 beta=60.00 gamma=60.00
Atoms (fractional coordinates):
As  0.750  0.750  0.750
As  0.250  0.250  0.250
Tl  0.500  0.500  0.500
Ti  0.000  0.000  0.000

Properties
Its mass density is 8.10 g/cm3. The symmetry is Fm-3m, No. 225. Its formation energy is 165 meV per atom. As for the uncorrected energy: -4.73 eV per atom.



[7]
The following is a GGA-PBE calculation of Rb2TlZn2F7 after structural relaxation, from Alexandria via LeMat-Bulk.

Unit cell a=4.214 b=4.214 c=11.524 alpha=79.45 beta=79.45 gamma=90.00
Atoms (fractional coordinates):
F  0.406  0.905  0.189
F  0.686  0.686  0.628
F  0.500  0.500  0.000
F  0.095  0.594  0.811
F  0.314  0.314  0.372
F  0.594  0.095  0.811
F  0.905  0.406  0.189
Rb  0.815  0.815  0.370
Rb  0.185  0.185  0.630
Zn  0.406  0.406  0.189
Zn  0.594  0.594  0.811
Tl  0.000  0.000  0.000

Properties
Its mass density is 5.37 g/cm3. The symmetry is I4/mmm, No. 139. For the formation energy without anion corrections, the calculation gives -2.40 eV/atom. As for the uncorrected energy: -4.06 eV per atom.



[8]
The following is a GGA-PBE calculation of LaEr2Se4 after structural relaxation, from Alexandria via LeMat-Bulk.

Unit cell a=4.063 b=6.991 c=13.814 alpha=90.00 beta=90.00 gamma=106.89
Atoms (fractional coordinates):
Er  0.869  0.738  0.934
Er  0.131  0.262  0.434
Er  0.131  0.262  0.066
Er  0.869  0.738  0.566
Se  0.772  0.543  0.119
Se  0.955  0.909  0.750
Se  0.500  0.000  0.500
Se  0.045  0.091  0.250
Se  0.772  0.543  0.381
Se  0.228  0.457  0.619
Se  0.228  0.457  0.881
Se  0.500  0.000  0.000
La  0.379  0.758  0.250
La  0.621  0.242  0.750

Properties
Its mass density is 6.98 g/cm3. The symmetry is Cmcm, No. 63. For the formation energy without anion corrections, the calculation gives -1.92 eV/atom. As for the uncorrected energy: -5.91 eV per atom.



[9]
The following is a GGA-PBE calculation of ZrCuAgHg after structural relaxation, from Alexandria via LeMat-Bulk.

Unit cell a=4.683 b=4.683 c=4.683 alpha=60.00 beta=60.00 gamma=60.00
Atoms (fractional coordinates):
Cu  0.250  0.250  0.250
Hg  0.000  0.000  0.000
Ag  0.750  0.750  0.750
Zr  0.500  0.500  0.500

Properties
Its mass density is 10.59 g/cm3. The symmetry is F-43m, No. 216. Its formation energy is -39 meV per atom. As for the uncorrected energy: -3.99 eV per atom.



[10]
The following is a GGA-PBE calculation of Ce2LuSn after structural relaxation, from Alexandria via LeMat-Bulk.

Unit cell a=5.138 b=4.551 c=4.551 alpha=90.00 beta=90.00 gamma=90.00
Atoms (fractional coordinates):
Lu  0.500  0.000  0.000
Sn  0.500  0.500  0.500
Ce  0.000  0.000  0.500
Ce  0.000  0.500  0.000

Properties
Its mass density is 8.96 g/cm3. The symmetry is P4/mmm, No. 123. Its formation energy is -391 meV per atom. As for the uncorrected energy: -5.49 eV per atom.



[11]
The following is a GGA-PBE calculation of CrCo3S after structural relaxation, from Alexandria via LeMat-Bulk.

Unit cell a=4.203 b=4.203 c=4.203 alpha=90.00 beta=90.00 gamma=90.00
Atoms (fractional coordinates):
Cr  0.000  0.000  0.000
Co  0.000  0.000  0.500
Co  0.500  0.000  0.000
Co  0.000  0.500  0.000
S  0.500  0.500  0.500

Properties
Its mass density is 5.83 g/cm3. The symmetry is Pm-3m, No. 221. For the formation energy without anion corrections, the calculation gives 1.38 eV/atom. As for the uncorrected energy: -5.63 eV per atom.



[12]
The following is a GGA-PBE calculation of TaSbMo after structural relaxation, from Alexandria via LeMat-Bulk.

Unit cell a=3.346 b=3.346 c=10.799 alpha=90.00 beta=90.00 gamma=90.00
Atoms (fractional coordinates):
Sb  0.500  0.000  0.364
Sb  0.000  0.500  0.636
Mo  0.500  0.000  0.786
Mo  0.000  0.500  0.214
Ta  0.500  0.000  0.077
Ta  0.000  0.500  0.923

Properties
Its mass density is 10.95 g/cm3. The symmetry is P4/nmm, No. 129. For the formation energy without anion corrections, the calculation gives -0.08 eV/atom. As for the uncorrected energy: -9.02 eV per atom.